1.
A relaxed structure of SrMg2Pb4, computed with PBE.

Cell and atoms, written as extended XYZ:
```
7
Lattice="2.6523 1.5313 8.7176 -2.6523 1.5313 8.7176 0.0000 -3.0626 8.7176" Properties=species:S:1:pos:R:3 pbc="T T T"
Sr 0.0000 0.0000 0.0000
Mg 0.0000 0.0000 6.5849
Mg 0.0000 0.0000 19.5678
Pb 0.0000 0.0000 3.4896
Pb 0.0000 0.0000 10.2531
Pb 0.0000 0.0000 15.8996
Pb 0.0000 0.0000 22.6631
```

Results
Density of states at the Fermi level, states/eV/f.u.: 3.38
Calculated total energy, eV per atom: -2.987

2.
A relaxed structure of Li2MoSe, computed with PBE.

Cell and atoms, written as extended XYZ:
```
4
Lattice="1.4241 0.8222 9.0882 -1.4241 0.8222 9.0882 0.0000 -1.6444 9.0882" Properties=species:S:1:pos:R:3 pbc="T T T"
Li 0.0000 0.0000 6.6525
Li 0.0000 0.0000 20.6123
Mo 0.0000 0.0000 0.0000
Se 0.0000 0.0000 13.6324
```

Results
E_form (uncorrected), eV per atom: 0.09
Density of states at the Fermi level, states/eV/f.u.: 3.13
Calculated total energy, eV per atom: -4.443

3.
A relaxed structure of PtPb5, computed with PBE.

Cell and atoms, written as extended XYZ:
```
6
Lattice="0.0000 4.4857 4.4857 4.4857 0.0000 4.4857 4.4857 4.4857 0.0000" Properties=species:S:1:pos:R:3 pbc="T T T"
Pt 0.0000 0.0000 0.0000
Pb 5.6106 3.3607 3.3607
Pb 2.2428 2.2428 2.2428
Pb 3.3607 5.6106 3.3607
Pb 3.3607 3.3607 5.6106
Pb 5.6106 5.6106 5.6106
```

Results
Offset from the most stable computed form, meV/atom: 464
Density of states at the Fermi level, states/eV/f.u.: 2.55
Calculated total energy, eV per atom: -3.683

4.
A relaxed structure of Li2Pm2NdBi2, computed with PBE.

Cell and atoms, written as extended XYZ:
```
7
Lattice="2.4589 1.4197 9.2193 -2.4589 1.4197 9.2193 0.0000 -2.8393 9.2193" Properties=species:S:1:pos:R:3 pbc="T T T"
Li 0.0000 0.0000 2.5094
Li 0.0000 0.0000 25.1486
Pm 0.0000 0.0000 10.2129
Pm 0.0000 0.0000 17.4451
Nd 0.0000 0.0000 13.8290
Bi 0.0000 0.0000 6.5104
Bi 0.0000 0.0000 21.1476
```

Results
Density of states at the Fermi level, states/eV/f.u.: 5.39
Calculated total energy, eV per atom: -4.147

5.
A relaxed structure of CuNi2P2, computed with PBE.

Cell and atoms, written as extended XYZ:
```
10
Lattice="6.6920 0.0000 0.0000 0.0000 6.6920 0.0000 0.0000 0.0000 2.7503" Properties=species:S:1:pos:R:3 pbc="T T T"
Cu 0.0000 0.0000 0.0000
Cu 3.3460 3.3460 0.0000
Ni 0.9070 2.4390 1.3751
Ni 2.4390 5.7850 1.3751
Ni 4.2530 0.9070 1.3751
Ni 5.7850 4.2530 1.3751
P 1.0965 4.4425 0.0000
P 2.2495 1.0965 0.0000
P 4.4425 5.5955 0.0000
P 5.5955 2.2495 0.0000
```

Results
Offset from the most stable computed form, meV/atom: 0
Density of states at the Fermi level, states/eV/f.u.: 2.89
Calculated total energy, eV per atom: -5.352

6.
A relaxed structure of Th2Al3InPd4, computed with PBE.

Cell and atoms, written as extended XYZ:
```
10
Lattice="4.3251 0.0000 0.0000 0.0000 4.3251 0.0000 0.0000 0.0000 10.7304" Properties=species:S:1:pos:R:3 pbc="T T T"
Th 0.0000 2.1626 2.6185
Th 2.1626 0.0000 8.1120
Al 0.0000 2.1626 9.4236
Al 2.1626 0.0000 1.3068
Al 2.1626 2.1626 5.3652
In 0.0000 0.0000 5.3652
Pd 0.0000 0.0000 0.0000
Pd 0.0000 2.1626 6.9663
Pd 2.1626 0.0000 3.7641
Pd 2.1626 2.1626 0.0000
```

Results
Density of states at the Fermi level, states/eV/f.u.: 7.36
Calculated total energy, eV per atom: -5.724

7.
A relaxed structure of Cs2AgRuO4, computed with PBE.

Cell and atoms, written as extended XYZ:
```
16
Lattice="0.0000 6.4139 10.5277 3.0289 0.0000 10.5277 3.0289 6.4139 0.0000" Properties=species:S:1:pos:R:3 pbc="T T T"
Cs 2.2716 4.8104 1.0875
Cs 3.7861 8.0173 6.3514
Cs 2.2716 4.8104 14.7041
Cs 3.7861 8.0173 19.9680
Ag 0.7572 1.6035 2.6319
Ag 5.3005 11.2242 18.4236
Ru 2.2716 4.8104 7.8958
Ru 3.7861 8.0173 13.1597
O 3.4276 3.6802 7.0032
O 3.4276 5.9406 8.7884
O 4.9420 6.8871 14.0523
O 4.9420 9.1475 12.2671
O 1.1157 3.6802 8.7884
O 1.1157 5.9406 7.0032
O 2.6301 6.8871 12.2671
O 2.6301 9.1475 14.0523
```

Results
E_form (uncorrected), eV per atom: -0.86
Density of states at the Fermi level, states/eV/f.u.: 1.71
Calculated total energy, eV per atom: -5.071

8.
A relaxed structure of Zr5Tl3Zn3, computed with PBE.

Cell and atoms, written as extended XYZ:
```
11
Lattice="9.6265 0.0000 0.0000 -4.8132 8.3368 0.0000 0.0000 0.0000 3.0641" Properties=species:S:1:pos:R:3 pbc="T T T"
Zr -1.6090 2.7868 0.0000
Zr 0.0000 5.5579 0.0000
Zr 3.2179 0.0000 0.0000
Zr 3.2043 5.5500 0.0000
Zr 4.8133 2.7789 0.0000
Tl -2.9413 5.0944 1.5321
Tl 1.8720 3.2424 1.5321
Tl 5.8825 0.0000 1.5321
Zn -4.1030 7.1066 0.0000
Zn 0.7102 1.2302 0.0000
Zn 8.2060 0.0000 0.0000
```

Results
Density of states at the Fermi level, states/eV/f.u.: 7.03
Calculated total energy, eV per atom: -4.589

9.
A relaxed structure of Be2AgSeI, computed with PBE.

Cell and atoms, written as extended XYZ:
```
5
Lattice="4.8205 0.0000 0.0000 0.0000 4.8205 0.0000 0.0000 0.0000 5.4029" Properties=species:S:1:pos:R:3 pbc="T T T"
Be 0.0000 2.4103 0.0000
Be 2.4103 0.0000 0.0000
Ag 0.0000 0.0000 2.7015
Se 2.4103 2.4103 2.7015
I 0.0000 0.0000 0.0000
```

Results
E_form (uncorrected), eV per atom: 1.23
Density of states at the Fermi level, states/eV/f.u.: 1.48
Calculated total energy, eV per atom: -1.837

10.
A relaxed structure of YReSb2Rh, computed with PBE.

Cell and atoms, written as extended XYZ:
```
5
Lattice="5.0074 0.0000 0.0000 0.0000 5.0074 0.0000 0.0000 0.0000 5.1153" Properties=species:S:1:pos:R:3 pbc="T T T"
Y 0.0000 0.0000 0.0000
Re 2.5037 2.5037 0.0000
Sb 0.0000 2.5037 2.5577
Sb 2.5037 0.0000 2.5577
Rh 0.0000 0.0000 2.5577
```

Results
E_form (uncorrected), eV per atom: 0.77
Offset from the most stable computed form, meV/atom: 0
Density of states at the Fermi level, states/eV/f.u.: 3.75
Calculated total energy, eV per atom: -6.136

11.
A relaxed structure of CoNiHRh2, computed with PBE.

Cell and atoms, written as extended XYZ:
```
5
Lattice="3.8336 0.0000 0.0000 0.0000 3.8336 0.0000 0.0000 0.0000 3.6814" Properties=species:S:1:pos:R:3 pbc="T T T"
Co 0.0000 0.0000 0.0000
Ni 1.9168 1.9168 0.0000
H 0.0000 0.0000 1.8407
Rh 0.0000 1.9168 1.8407
Rh 1.9168 0.0000 1.8407
```

Results
Offset from the most stable computed form, meV/atom: 9
Density of states at the Fermi level, states/eV/f.u.: 5.83
Calculated total energy, eV per atom: -6.126

12.
A relaxed structure of WBr, computed with PBE.

Cell and atoms, written as extended XYZ:
```
4
Lattice="-1.5562 1.6122 9.3430 1.5562 -1.6122 9.3430 1.5562 1.6122 -9.3430" Properties=species:S:1:pos:R:3 pbc="T T T"
W 0.0000 0.8061 0.9428
W 1.5562 0.8061 8.4002
Br 1.5562 0.8061 -2.7430
Br 0.0000 0.8061 12.0860
```

Results
E_form (uncorrected), eV per atom: 0.57
Offset from the most stable computed form, meV/atom: 489
Density of states at the Fermi level, states/eV/f.u.: 1.15
Calculated total energy, eV per atom: -6.742